# 1
DFT (PBE) results for La2SbPPt6 after structural relaxation.

Cell lengths 5.642, 8.572, 8.729 Å; angles 90.00, 90.00, 90.00 degrees
Positions (direct):
La1 0.250 0.001 0.240
La2 0.250 0.499 0.240
La3 0.750 0.501 0.760
La4 0.750 0.999 0.760
Sb1 0.250 0.250 0.790
Sb2 0.750 0.750 0.210
P1 0.250 0.750 0.741
P2 0.750 0.250 0.259
Pt1 0.003 0.250 0.500
Pt2 0.007 0.750 0.959
Pt3 0.250 0.503 0.618
Pt4 0.250 0.997 0.618
Pt5 0.493 0.750 0.959
Pt6 0.497 0.250 0.500
Pt7 0.503 0.750 0.500
Pt8 0.507 0.250 0.041
Pt9 0.750 0.003 0.382
Pt10 0.750 0.497 0.382
Pt11 0.993 0.250 0.041
Pt12 0.997 0.750 0.500

The crystal system is orthorhombic. The value obtained for the density of states at the Fermi level is 3.5 states/eV/f.u. Its energy relative to the elements, uncorrected is -9.33 eV/f.u. The total energy comes out at -6.496 eV per atom.

=====

# 2
DFT (PBE) results for La3SbP2Pt9 after structural relaxation.

Cell lengths 7.435, 7.435, 6.706 Å; angles 90.00, 90.00, 120.00 degrees
Positions (direct):
La1 0.000 0.000 0.000
La2 0.333 0.667 0.664
La3 0.667 0.333 0.336
Sb1 0.000 0.000 0.500
P1 0.333 0.667 0.134
P2 0.667 0.333 0.866
Pt1 0.000 0.500 0.000
Pt2 0.180 0.360 0.318
Pt3 0.180 0.820 0.318
Pt4 0.360 0.180 0.682
Pt5 0.500 0.000 0.000
Pt6 0.500 0.500 0.000
Pt7 0.640 0.820 0.318
Pt8 0.820 0.180 0.682
Pt9 0.820 0.640 0.682

The crystal system is trigonal. The value obtained for the density of states at the Fermi level is 4.5 states/eV/f.u. Its energy relative to the elements, uncorrected is -11.04 eV/f.u. The total energy comes out at -6.342 eV per atom.